Computed, not measured: an optimized crystal structure of LaTcSb2 at the PBE level of DFT.

Properties
Its raw total energy is -6.351 eV per atom. The energy relative to the lowest polymorph listed for this composition comes out at 0.000 eV per atom.

a b c (Å): 4.6076 4.6076 5.9464
angles (deg): 67.14 67.14 60.00
Last column: nearest neighbours and their distance in Å.
Sites, in units of the cell vectors:
La: 0.2500 0.2500 0.2500  8 Sb 3.21-3.52
Sb: 0.0294 0.0294 0.9120  3 Tc 2.80
Sb: 0.4706 0.4706 0.5880  3 Tc 2.80
Tc: 0.7500 0.7500 0.7500  6 Sb 2.80